DFT (GGA-PBEsol) results for a relaxed PrGa3Co10 crystal.

Structure (extended XYZ):
```
28
Lattice="0.000 5.579 5.700 5.536 0.000 5.700 5.536 5.579 0.000" Properties=species:S:1:pos:R:3 pbc="T T T"
Pr 2.768 2.790 0.000
Pr 2.768 2.790 5.700
Ga 9.081 5.579 4.252
Ga 5.536 3.568 4.217
Ga 7.522 5.579 7.086
Ga 5.536 7.590 4.217
Ga 1.990 5.579 4.252
Ga 3.549 5.579 7.086
Co 5.536 1.298 4.878
Co 4.215 2.010 2.823
Co 9.860 5.579 6.551
Co 1.998 1.337 2.797
Co 5.536 5.579 2.813
Co 3.537 4.242 2.797
Co 5.536 1.981 7.186
Co 6.780 5.579 4.822
Co 1.321 3.569 2.823
Co 5.536 4.235 6.545
Co 4.291 5.579 4.822
Co 9.073 6.916 8.497
Co 9.750 9.148 8.523
Co 5.536 6.923 6.545
Co 5.536 5.579 8.515
Co 6.856 7.589 8.523
Co 5.536 9.860 4.878
Co 7.534 9.821 8.497
Co 5.536 9.177 7.186
Co 1.211 5.579 6.551
```

Computed properties:
**DFT total energy**: -6.80 eV per atom
**DFT formation energy**: -2.67 eV per formula unit
**Density**: 8.86 g/cm³
**Space group**: Fmm2